Record 1
Zr2SiB PBE relaxed; space-group type = No. 122; distance to the lowest polymorph of the same formula = 345 meV/atom; formation energy without anion corrections = -0.192 eV per atom; uncorrected energy = -7.491 eV/atom
1.0
-1.507 -6.462 1.471
4.594 -2.106 -4.545
3.643 -4.290 0.588
B Si Zr
2 2 4
direct
0.500 0.500 0.000
0.250 0.750 0.500
0.000 0.000 0.000
0.750 0.250 0.500
0.875 0.844 0.750
0.594 0.125 0.250
0.156 0.625 0.250
0.375 0.406 0.750

***

Record 2
CsZr3Cu PBE relaxed; space-group type = No. 221; distance to the lowest polymorph of the same formula = 0 meV/atom; energy relative to the elements = 4.638 eV per formula unit; uncorrected energy = -5.191 eV/atom
1.0
-1.864 2.837 3.885
1.462 -3.635 3.356
4.583 2.314 0.510
Cs Zr Cu
1 3 1
direct
0.500 0.500 0.500
0.000 0.500 0.000
0.000 0.000 0.500
0.500 0.000 0.000
0.000 0.000 0.000

***

Record 3
SmY4Ho PBE relaxed; space-group type = No. 2; distance to the lowest polymorph of the same formula = 0 meV/atom; energy relative to the elements = 0.130 eV per formula unit; uncorrected energy = -5.837 eV/atom
1.0
-0.350 -3.503 -0.580
5.254 0.754 3.177
-3.435 -2.849 8.334
Y Ho Sm
4 1 1
direct
0.665 0.003 0.167
0.832 0.502 0.333
0.329 0.000 0.837
0.163 0.501 0.670
0.497 0.501 0.002
0.997 0.001 0.502